Entry 1:
A geometry-optimized BeNi structure. Source: Alexandria, functional GGA-PBE.

```
BeNi
1.0
-0.499 3.188 -0.534
-2.234 -2.188 -0.959
-1.941 0.328 3.773
Ni Be
2 2
Direct
0.333 0.667 0.250
0.667 0.333 0.750
0.000 0.000 0.000
0.000 0.000 0.500
```

## Properties
DFT formation energy (eV/atom): -0.04
Space group: No. 194

---

Entry 2:
A geometry-optimized KBaZr3 structure. Source: Alexandria, functional GGA-PBE.

```
KBaZr3
1.0
5.520 0.000 0.000
0.000 5.520 0.000
0.000 0.000 5.520
Zr K Ba
3 1 1
Direct
0.000 0.500 0.000
0.000 0.000 0.500
0.500 0.000 0.000
0.500 0.500 0.500
0.000 0.000 0.000
```

## Properties
DFT formation energy (eV/atom): 1.72
Space group: No. 221

---

Entry 3:
A geometry-optimized Dy6Sn3N2 structure. Source: Alexandria, functional GGA-PBE.

```
Dy6Sn3N2
1.0
4.609 0.000 -0.905
-0.178 4.606 -0.905
0.140 0.145 12.905
Sn N Dy
3 2 6
Direct
0.178 0.178 0.357
0.000 0.000 0.000
0.822 0.822 0.643
0.398 0.398 0.797
0.602 0.602 0.203
0.585 0.085 0.169
0.308 0.308 0.616
0.692 0.692 0.384
0.085 0.585 0.169
0.415 0.915 0.831
0.915 0.415 0.831
```

## Properties
Space group: No. 139
E_form (uncorrected) (meV per atom): -1041

---

Entry 4:
A geometry-optimized LaIn2Se structure. Source: Alexandria, functional GGA-PBE.

```
LaIn2Se
1.0
8.781 0.000 0.000
0.000 8.781 0.000
4.390 4.390 3.042
Se In La
2 4 2
Direct
0.250 0.750 0.500
0.500 0.500 0.000
0.875 0.841 0.750
0.591 0.125 0.250
0.159 0.625 0.250
0.375 0.409 0.750
0.750 0.250 0.500
0.000 0.000 0.000
```

## Properties
Space group: No. 122
E_form (uncorrected) (meV per atom): -529